# 1
Compound: MoSe3Br
Source: Alexandria
Functional: PBE
Structure: relaxed

abc: 4.944 4.944 4.944
angles: 90.00 90.00 90.00
Sites, in units of the cell vectors:
Se 0.500 0.000 0.000
Se 0.000 0.500 0.000
Br 0.500 0.500 0.500
Mo 0.000 0.000 0.000
Se 0.000 0.000 0.500

Formation energy (no corrections)   160 meV/atom
SG   Pm-3m
ΔE to the lowest computed polymorph   0.0000 eV per atom
Calculated total energy   -0.3257 Ry per atom



# 2
Compound: MoSe3Br
Source: Alexandria
Functional: PBE
Structure: relaxed

abc: 5.129 5.129 5.129
angles: 90.00 90.00 90.00
Sites, in units of the cell vectors:
Se 0.000 0.000 0.500
Se 0.500 0.000 0.000
Se 0.000 0.500 0.000
Br 0.000 0.000 0.000
Mo 0.500 0.500 0.500

Formation energy (no corrections)   1374 meV/atom
SG   Pm-3m
ΔE to the lowest computed polymorph   1.2140 eV per atom
Calculated total energy   -0.2365 Ry per atom